i:
First-principles (GGA-PBE) data for crystalline Mg3H2Ir5 at its relaxed geometry, as listed in the Alexandria database.

Unit cell a=9.6663 b=5.7812 c=4.7992 alpha=90.00 beta=107.49 gamma=90.00
Space group Cm (No. 8)
Symmetry-distinct sites (fractional):
Mg 0.0000 0.0000 0.0000
Mg 0.0022 0.5000 0.0314
Mg 0.2563 0.0000 0.5086
H 0.1886 0.0000 0.8732
H 0.4137 0.5000 0.3738
Ir 0.0062 0.2609 0.5223
Ir 0.2468 0.5000 0.5240
Ir 0.2539 0.2687 0.0246

---

ii:
First-principles (GGA-PBE) data for crystalline Mg3H2Ir5 at its relaxed geometry, as listed in the Alexandria database.

Unit cell a=9.6662 b=5.8676 c=4.7689 alpha=90.00 beta=107.19 gamma=90.00
Space group Cm (No. 8)
Symmetry-distinct sites (fractional):
Mg 0.0000 0.0000 0.0000
Mg 0.0005 0.5000 0.0059
Mg 0.2502 0.0000 0.4963
H 0.1960 0.0000 0.8821
H 0.4421 0.5000 0.5558
Ir 0.0032 0.2729 0.4986
Ir 0.2452 0.5000 0.5032
Ir 0.2544 0.2729 0.0114

---

Stability comparison, relative energies in meV per atom: i 0; ii 8

---

i:
First-principles (GGA-PBE) data for crystalline Mg6HIr at its relaxed geometry, as listed in the Alexandria database.

Unit cell a=6.6208 b=6.4814 c=7.8908 alpha=90.00 beta=114.75 gamma=90.00
Space group C2 (No. 5)
Symmetry-distinct sites (fractional):
Mg 0.1398 0.0000 0.3010
Mg 0.1630 0.4995 0.3012
Mg 0.2352 0.2561 0.9715
H 0.0000 0.5223 0.5000
Ir 0.0000 0.2647 0.5000

---

ii:
First-principles (GGA-PBE) data for crystalline Mg6HIr at its relaxed geometry, as listed in the Alexandria database.

Unit cell a=7.2360 b=6.6075 c=6.4407 alpha=90.00 beta=90.00 gamma=90.00
Space group Amm2 (No. 38)
Symmetry-distinct sites (fractional):
Mg 0.0000 0.0000 0.0000
Mg 0.0000 0.0000 0.4930
Mg 0.3004 0.2394 0.7481
H 0.5000 0.0000 0.2254
Ir 0.5000 0.0000 0.4839

---

Stability comparison, relative energies in meV per atom: i 0; ii 34